Record 1
Computed, not measured: crystalline CrGeBiPb2 at its relaxed geometry at the GGA-PBE level of DFT.

Magnetic moment, μB per cell: 3.4
Formation energy from the elements, eV per formula unit: 5.30

```
5
Lattice="6.037 0.000 0.000 0.000 6.037 0.000 0.000 0.000 5.160" Properties=species:S:1:pos:R:3 pbc="T T T"
Cr 0.000 0.000 0.000
Ge 3.018 3.018 0.000
Bi 0.000 0.000 2.580
Pb 0.000 3.018 2.580
Pb 3.018 0.000 2.580
```

---

Record 2
Computed, not measured: crystalline CrGe2BiSe at its relaxed geometry at the GGA-PBE level of DFT.

E_form (uncorrected), meV per atom: 1104
Magnetic moment, μB per cell: 4.5

```
5
Lattice="5.540 0.000 0.000 0.000 5.540 0.000 0.000 0.000 5.231" Properties=species:S:1:pos:R:3 pbc="T T T"
Cr 0.000 0.000 0.000
Ge 0.000 2.770 2.616
Ge 2.770 0.000 2.616
Bi 0.000 0.000 2.616
Se 2.770 2.770 0.000
```

---

Record 3
Computed, not measured: crystalline CrSnGe2Bi at its relaxed geometry at the GGA-PBE level of DFT.

Magnetic moment, μB per cell: 2.6
Formation energy from the elements, eV per formula unit: 1.86

```
5
Lattice="4.791 0.000 0.000 0.000 4.791 0.000 0.000 0.000 5.230" Properties=species:S:1:pos:R:3 pbc="T T T"
Cr 0.000 0.000 0.000
Sn 0.000 0.000 2.615
Ge 0.000 2.396 0.000
Ge 2.396 0.000 0.000
Bi 2.396 2.396 2.615
```

---

Record 4
Computed, not measured: crystalline CrBi3H at its relaxed geometry at the GGA-PBE level of DFT.

Energy above the lowest structure with this stoichiometry, eV per formula unit: 0.000
Magnetic moment, μB per cell: 4.3

```
5
Lattice="4.892 0.000 0.000 0.000 4.892 0.000 0.000 0.000 4.892" Properties=species:S:1:pos:R:3 pbc="T T T"
Cr 0.000 0.000 0.000
Bi 0.000 2.446 2.446
Bi 2.446 0.000 2.446
Bi 2.446 2.446 0.000
H 2.446 2.446 2.446
```

---

Q: Look up the magnetic moment of the third one.
A: 2.6 μB per cell